a:
! TaTcPt2 | Alexandria via LeMat-Bulk | PBE | relaxed; values from VASP
&SYSTEM
  ibrav = 0, nat = 4, ntyp = 3
/
ATOMIC_SPECIES
Ta 180.95 Ta.upf
Tc 98.00 Tc.upf
Pt 195.08 Pt.upf
CELL_PARAMETERS angstrom
2.760 0.000 0.000
0.000 4.112 0.000
0.000 0.000 5.524
ATOMIC_POSITIONS crystal
Ta 0.000 0.000 0.000
Tc 0.000 0.000 0.500
Pt 0.500 0.500 0.256
Pt 0.500 0.500 0.744
! space-group type = Pmmm, No. 47

b:
! TaTcPt2 | Alexandria via LeMat-Bulk | PBE | relaxed; values from VASP
&SYSTEM
  ibrav = 0, nat = 12, ntyp = 3
/
ATOMIC_SPECIES
Ta 180.95 Ta.upf
Tc 98.00 Tc.upf
Pt 195.08 Pt.upf
CELL_PARAMETERS angstrom
2.811 0.000 0.000
-1.406 2.435 0.000
0.000 0.000 27.716
ATOMIC_POSITIONS crystal
Ta 0.000 0.000 0.000
Ta 0.333 0.667 0.667
Ta 0.667 0.333 0.333
Tc 0.000 0.000 0.500
Tc 0.333 0.667 0.167
Tc 0.667 0.333 0.833
Pt 0.000 0.000 0.248
Pt 0.000 0.000 0.752
Pt 0.333 0.667 0.418
Pt 0.333 0.667 0.915
Pt 0.667 0.333 0.085
Pt 0.667 0.333 0.582
! space-group type = R-3m, No. 166

Preferred: a; penalty for the next structure: 0.235 eV/atom.